No. 1
Below is a PBEsol-optimized structure of Tl3HgPt, with properties calculated at the meta-GGA SCAN level.

Results
- ΔE_f (meV per atom) = -73

Unit cell a=5.256 b=5.256 c=5.256 alpha=90.00 beta=90.00 gamma=90.00
Space group Pm-3m (No. 221)
Inequivalent atoms, fractional coordinates:
Tl: 0.000 0.000 0.500
Hg: 0.500 0.500 0.500
Pt: 0.000 0.000 0.000

No. 2
Below is a PBEsol-optimized structure of NaVF3, with properties calculated at the meta-GGA SCAN level.

Results
- uncorrected formation energy (eV per atom) = -2.908

Unit cell a=4.049 b=4.049 c=4.049 alpha=90.00 beta=90.00 gamma=90.00
Space group Pm-3m (No. 221)
Inequivalent atoms, fractional coordinates:
Na: 0.000 0.000 0.000
V: 0.500 0.500 0.500
F: 0.000 0.500 0.500

- Number 1 is which compound?
  Tl3HgPt